1.
VASP calculation (PBE) on a relaxed structure of ErPuHg4.

Unit cell a=5.963 b=5.963 c=5.963 alpha=60.00 beta=60.00 gamma=60.00
Element x y z (fractional)
Er (0.000, 0.000, 0.000)
Pu (0.250, 0.250, 0.250)
Hg (0.125, 0.625, 0.625)
Hg (0.625, 0.125, 0.625)
Hg (0.625, 0.625, 0.125)
Hg (0.625, 0.625, 0.625)

Properties
calculated formation energy = -6.81 kJ/mol of atoms
density = 13.44 g/cm³
excess energy over the best structure of this formula in the dataset = 0.1886 eV/atom
E = -3.421 eV per atom

---

2.
VASP calculation (PBE) on a relaxed structure of Er2PuHg8.

Unit cell a=8.308 b=8.308 c=8.308 alpha=144.02 beta=123.51 gamma=68.82
Element x y z (fractional)
Er (0.203, 0.203, 0.000)
Er (0.797, 0.797, 0.000)
Pu (0.500, 0.500, 0.000)
Hg (0.054, 0.354, 0.700)
Hg (0.202, 0.000, 0.202)
Hg (0.345, 0.646, 0.700)
Hg (0.348, 0.848, 0.500)
Hg (0.652, 0.152, 0.500)
Hg (0.655, 0.354, 0.300)
Hg (0.798, 0.000, 0.798)
Hg (0.946, 0.646, 0.300)

Properties
calculated formation energy = -19.68 kJ/mol of atoms
density = 13.11 g/cm³
E = -2.556 eV per atom

---

3.
VASP calculation (PBE) on a relaxed structure of ErPuHg4.

Unit cell a=3.262 b=5.041 c=8.782 alpha=90.00 beta=90.00 gamma=90.00
Element x y z (fractional)
Er (0.000, 0.000, 0.000)
Pu (0.000, 0.500, 0.500)
Hg (0.500, 0.000, 0.330)
Hg (0.500, 0.000, 0.670)
Hg (0.500, 0.500, 0.163)
Hg (0.500, 0.500, 0.837)

Properties
calculated formation energy = -25.01 kJ/mol of atoms
density = 13.96 g/cm³
excess energy over the best structure of this formula in the dataset = 0.0000 eV/atom
E = -3.609 eV per atom